DFT (GGA-PBE) results for a relaxed TcIN3 crystal.

Properties
E: -24.04 eV/cell
Density: 6.92 g cm⁻³

abc: 4.002 4.002 4.002
angles: 90.00 90.00 90.00
Atoms (fractional coordinates):
Tc (0.000, 0.000, 0.000)
I (0.500, 0.500, 0.500)
N (0.000, 0.500, 0.500)
N (0.500, 0.000, 0.500)
N (0.500, 0.500, 0.000)